Compound: MnGa2F6
Source: Alexandria
Functional: GGA+U
Structure: relaxed

Summary:
The total energy comes out at -4.91 eV per atom. The density of states at the Fermi level comes out at 2.32 states/eV/f.u.

a = 9.6515 Å, b = 10.4328 Å, c = 5.1235 Å
α = 90.00°, β = 102.65°, γ = 90.00°
Space group C2/c (No. 15)
Asymmetric unit:
Mn 0.0000 0.1031 0.2500 (multiplicity 4)
Ga 0.1599 0.4050 0.1958 (multiplicity 8)
F 0.0621 0.3858 0.5000 (multiplicity 8)
F 0.1248 0.0640 0.6390 (multiplicity 8)
F 0.1631 0.2225 0.1748 (multiplicity 8)